No. 1
{"formula": "Er6CdPt5", "functional": "PBE-GGA", "state": "relaxed", "space_group": "Immm (71)", "e_tot_ev_per_cell": -71.7, "formation_energy_kj_per_mol_fu": -1277, "lattice": [[-3.387, 0.848, -3.472], [-0.773, -6.917, -0.936], [-3.248, 2.930, 7.377]], "species": ["Cd", "Pt", "Pt", "Pt", "Pt", "Pt", "Er", "Er", "Er", "Er", "Er", "Er"], "fractional_positions": [[0.000, 0.000, 0.000], [0.348, 0.848, 0.695], [0.672, 0.672, 0.343], [0.000, 0.500, 0.000], [0.328, 0.328, 0.657], [0.652, 0.152, 0.305], [0.171, 0.428, 0.343], [0.171, 0.915, 0.343], [0.500, 0.264, 0.000], [0.500, 0.736, 0.000], [0.829, 0.085, 0.657], [0.829, 0.572, 0.657]]}

***

No. 2
{"formula": "Er4CdPt2", "functional": "PBE-GGA", "state": "relaxed", "space_group": "R-3m (166)", "e_tot_ev_per_cell": -36.6, "formation_energy_kj_per_mol_fu": -514, "lattice": [[-0.136, 3.152, -3.451], [-0.557, -1.401, -4.426], [-9.860, 1.260, -1.629]], "species": ["Er", "Er", "Er", "Er", "Cd", "Pt", "Pt"], "fractional_positions": [[0.701, 0.701, 0.896], [0.890, 0.890, 0.331], [0.299, 0.299, 0.104], [0.110, 0.110, 0.669], [0.500, 0.500, 0.500], [0.599, 0.599, 0.202], [0.401, 0.401, 0.798]]}

***

No. 3
{"formula": "ErCdPt", "functional": "PBE-GGA", "state": "relaxed", "space_group": "P-6m2 (187)", "e_tot_ev_per_cell": -13.5, "formation_energy_kj_per_mol_fu": -196, "lattice": [[-1.778, -0.347, 2.880], [-2.065, -3.832, -1.737], [3.995, -0.384, 2.420]], "species": ["Cd", "Pt", "Er"], "fractional_positions": [[0.166, 0.000, 0.000], [0.167, 0.333, 0.667], [0.667, 0.667, 0.333]]}

***

No. 4
{"formula": "Er3CdPt4", "functional": "PBE-GGA", "state": "relaxed", "space_group": "Pmma (51)", "e_tot_ev_per_cell": -94.8, "formation_energy_kj_per_mol_fu": -831, "lattice": [[-0.456, -4.519, -1.690], [5.649, 0.820, -3.717], [5.338, -3.301, 7.385]], "species": ["Cd", "Cd", "Pt", "Pt", "Pt", "Pt", "Pt", "Pt", "Pt", "Pt", "Er", "Er", "Er", "Er", "Er", "Er"], "fractional_positions": [[0.000, 0.500, 0.000], [0.000, 0.500, 0.500], [0.500, 0.755, 0.000], [0.500, 0.755, 0.500], [0.500, 0.245, 0.000], [0.500, 0.245, 0.500], [0.001, 0.755, 0.750], [0.999, 0.755, 0.250], [0.999, 0.245, 0.250], [0.001, 0.245, 0.750], [0.000, 0.000, 0.000], [0.000, 0.000, 0.500], [0.501, 0.000, 0.750], [0.499, 0.000, 0.250], [0.501, 0.500, 0.750], [0.499, 0.500, 0.250]]}

***

No. 5
{"formula": "Er3CdPt", "functional": "PBE-GGA", "state": "relaxed", "space_group": "P-1 (2)", "e_tot_ev_per_cell": -47.7, "formation_energy_kj_per_mol_fu": -309, "lattice": [[-5.047, 2.488, -0.939], [2.107, -1.919, 5.948], [2.341, 8.309, -1.884]], "species": ["Er", "Er", "Er", "Er", "Er", "Er", "Cd", "Cd", "Pt", "Pt"], "fractional_positions": [[0.500, 0.798, 0.094], [0.124, 0.414, 0.715], [0.873, 0.795, 0.717], [0.127, 0.205, 0.283], [0.500, 0.202, 0.906], [0.876, 0.586, 0.285], [0.516, 0.211, 0.495], [0.484, 0.789, 0.505], [0.998, 0.748, 0.000], [0.002, 0.252, 0.000]]}

***

No. 6
{"formula": "Er5CdPt4", "functional": "PBE-GGA", "state": "relaxed", "space_group": "P4/mmm (123)", "e_tot_ev_per_cell": -58.7, "formation_energy_kj_per_mol_fu": -1042, "lattice": [[-1.774, 1.427, 2.639], [0.642, -2.814, 1.954], [15.087, 7.623, 6.019]], "species": ["Er", "Er", "Er", "Er", "Er", "Cd", "Pt", "Pt", "Pt", "Pt"], "fractional_positions": [[0.500, 0.500, 0.119], [0.500, 0.500, 0.309], [0.500, 0.500, 0.500], [0.500, 0.500, 0.691], [0.500, 0.500, 0.881], [0.000, 0.000, 0.000], [0.000, 0.000, 0.208], [0.000, 0.000, 0.403], [0.000, 0.000, 0.597], [0.000, 0.000, 0.792]]}

***

No. 7
{"formula": "ErCd3Pt4", "functional": "PBE-GGA", "state": "relaxed", "space_group": "Pmma (51)", "e_tot_ev_per_cell": -72.5, "formation_energy_kj_per_mol_fu": -462, "lattice": [[-1.491, -4.147, -2.322], [5.735, -1.307, -1.349], [0.828, -4.959, 8.323]], "species": ["Cd", "Cd", "Cd", "Cd", "Cd", "Cd", "Pt", "Pt", "Pt", "Pt", "Pt", "Pt", "Pt", "Pt", "Er", "Er"], "fractional_positions": [[0.000, 0.000, 0.000], [0.000, 0.000, 0.500], [0.601, 0.000, 0.750], [0.399, 0.000, 0.250], [0.587, 0.500, 0.750], [0.413, 0.500, 0.250], [0.500, 0.754, 0.000], [0.500, 0.754, 0.500], [0.500, 0.246, 0.000], [0.500, 0.246, 0.500], [0.105, 0.758, 0.750], [0.895, 0.758, 0.250], [0.895, 0.242, 0.250], [0.105, 0.242, 0.750], [0.000, 0.500, 0.000], [0.000, 0.500, 0.500]]}

***

No. 8
{"formula": "Er3Cd2Pt3", "functional": "PBE-GGA", "state": "relaxed", "space_group": "P6_3/mcm (193)", "e_tot_ev_per_cell": -82.5, "formation_energy_kj_per_mol_fu": -733, "lattice": [[-0.881, 1.224, 5.515], [-7.780, -3.257, -0.519], [6.514, -4.940, 2.137]], "species": ["Er", "Er", "Er", "Er", "Er", "Er", "Cd", "Cd", "Cd", "Cd", "Pt", "Pt", "Pt", "Pt", "Pt", "Pt"], "fractional_positions": [[0.750, 0.280, 0.000], [0.750, 0.720, 0.720], [0.750, 0.000, 0.280], [0.250, 0.720, 0.000], [0.250, 0.280, 0.280], [0.250, 0.000, 0.720], [0.000, 0.333, 0.667], [0.500, 0.667, 0.333], [0.000, 0.667, 0.333], [0.500, 0.333, 0.667], [0.750, 0.626, 0.000], [0.750, 0.374, 0.374], [0.750, 0.000, 0.626], [0.250, 0.374, 0.000], [0.250, 0.626, 0.626], [0.250, 0.000, 0.374]]}

***

No. 9
{"formula": "Er4CdPt3", "functional": "PBE-GGA", "state": "relaxed", "space_group": "P4/mmm (123)", "e_tot_ev_per_cell": -90.8, "formation_energy_kj_per_mol_fu": -782, "lattice": [[4.969, 0.000, 0.000], [0.000, 7.038, 0.000], [0.000, 0.000, 9.937]], "species": ["Cd", "Cd", "Pt", "Pt", "Pt", "Pt", "Pt", "Pt", "Er", "Er", "Er", "Er", "Er", "Er", "Er", "Er"], "fractional_positions": [[0.000, 0.500, 0.000], [0.000, 0.500, 0.500], [0.000, 0.000, 0.000], [0.000, 0.000, 0.500], [0.501, 0.000, 0.750], [0.499, 0.000, 0.250], [0.500, 0.500, 0.750], [0.500, 0.500, 0.250], [0.500, 0.761, 0.000], [0.500, 0.761, 0.500], [0.500, 0.239, 0.000], [0.500, 0.239, 0.500], [0.000, 0.761, 0.750], [0.000, 0.761, 0.250], [0.000, 0.239, 0.250], [0.000, 0.239, 0.750]]}

***

No. 10
{"formula": "Er5Cd4Pt", "functional": "PBE-GGA", "state": "relaxed", "space_group": "P4/mmm (123)", "e_tot_ev_per_cell": -37.6, "formation_energy_kj_per_mol_fu": -494, "lattice": [[3.638, 0.000, 0.000], [0.000, 3.638, 0.000], [0.000, 0.000, 18.492]], "species": ["Er", "Er", "Er", "Er", "Er", "Cd", "Cd", "Cd", "Cd", "Pt"], "fractional_positions": [[0.500, 0.500, 0.086], [0.500, 0.500, 0.294], [0.500, 0.500, 0.500], [0.500, 0.500, 0.706], [0.500, 0.500, 0.914], [0.000, 0.000, 0.193], [0.000, 0.000, 0.397], [0.000, 0.000, 0.603], [0.000, 0.000, 0.807], [0.000, 0.000, 0.000]]}

***

No. 11
{"formula": "ErCd2Pt3", "functional": "PBE-GGA", "state": "relaxed", "space_group": "P-3m1 (164)", "e_tot_ev_per_cell": -28.4, "formation_energy_kj_per_mol_fu": -378, "lattice": [[4.749, 0.000, 0.000], [-2.375, 4.113, 0.000], [0.000, 0.000, 5.741]], "species": ["Er", "Cd", "Cd", "Pt", "Pt", "Pt"], "fractional_positions": [[0.000, 0.000, 0.000], [0.667, 0.333, 0.333], [0.333, 0.667, 0.667], [0.000, 0.000, 0.500], [0.667, 0.333, 0.826], [0.333, 0.667, 0.174]]}

***

No. 12
{"formula": "ErCdPt", "functional": "PBE-GGA", "state": "relaxed", "space_group": "I4mm (107)", "e_tot_ev_per_cell": -13.9, "formation_energy_kj_per_mol_fu": -227, "lattice": [[3.674, 0.000, 0.000], [0.000, 3.674, 0.000], [-1.837, -1.837, 4.660]], "species": ["Cd", "Pt", "Er"], "fractional_positions": [[0.622, 0.622, 0.244], [0.292, 0.292, 0.584], [0.936, 0.936, 0.873]]}